[1]
# PrPaPd2 | Alexandria via LeMat-Bulk | PBE | relaxed
# M_tot: 0.003 μB per formula unit
# DFT formation energy: -0.52 eV/atom
# Crystal system: tetragonal
# Excess energy over the best structure of this formula in the dataset: 0.0 meV per atom
data_PrPaPd2
_chemical_formula_sum 'Pr1 Pa1 Pd2'
_cell_length_a 3.593
_cell_length_b 3.593
_cell_length_c 7.239
_cell_angle_alpha 90.00
_cell_angle_beta 90.00
_cell_angle_gamma 90.00
_symmetry_space_group_name_H-M 'P 4/m m m'
_symmetry_Int_Tables_number 123
_symmetry_space_group_name_Hall '-P 4 2'
loop_
_atom_site_label
_atom_site_type_symbol
_atom_site_fract_x
_atom_site_fract_y
_atom_site_fract_z
_atom_site_occupancy
Pr1 Pr 0.000 0.000 0.000 1
Pa1 Pa 0.000 0.000 0.500 1
Pd1 Pd 0.500 0.500 0.291 1

[2]
# Nb2HgRhAu | Alexandria via LeMat-Bulk | PBE | relaxed
# M_tot: 0.000 μB per formula unit
# DFT formation energy: 0.86 eV/atom
# Crystal system: tetragonal
data_Nb2HgRhAu
_chemical_formula_sum 'Nb2 Hg1 Rh1 Au1'
_cell_length_a 4.778
_cell_length_b 4.778
_cell_length_c 5.053
_cell_angle_alpha 90.00
_cell_angle_beta 90.00
_cell_angle_gamma 90.00
_symmetry_space_group_name_H-M 'P 4/m m m'
_symmetry_Int_Tables_number 123
_symmetry_space_group_name_Hall '-P 4 2'
loop_
_atom_site_label
_atom_site_type_symbol
_atom_site_fract_x
_atom_site_fract_y
_atom_site_fract_z
_atom_site_occupancy
Nb1 Nb 0.000 0.500 0.000 1
Hg1 Hg 0.000 0.000 0.500 1
Rh1 Rh 0.500 0.500 0.000 1
Au1 Au 0.500 0.500 0.500 1

[3]
# Tl2ZnAu | Alexandria via LeMat-Bulk | PBE | relaxed
# M_tot: 0.000 μB per formula unit
# DFT formation energy: 0.10 eV/atom
# Crystal system: cubic
# Excess energy over the best structure of this formula in the dataset: 114.1 meV per atom
data_Tl2ZnAu
_chemical_formula_sum 'Tl8 Zn4 Au4'
_cell_length_a 7.288
_cell_length_b 7.288
_cell_length_c 7.288
_cell_angle_alpha 90.00
_cell_angle_beta 90.00
_cell_angle_gamma 90.00
_symmetry_space_group_name_H-M 'F m -3 m'
_symmetry_Int_Tables_number 225
_symmetry_space_group_name_Hall '-F 4 2 3'
loop_
_atom_site_label
_atom_site_type_symbol
_atom_site_fract_x
_atom_site_fract_y
_atom_site_fract_z
_atom_site_occupancy
Tl1 Tl 0.250 0.250 0.250 1
Zn1 Zn 0.000 0.000 0.000 1
Au1 Au 0.000 0.000 0.500 1

[4]
# CsK2IBr | Alexandria via LeMat-Bulk | PBE | relaxed
# M_tot: 0.000 μB per formula unit
# Crystal system: tetragonal
# Formation energy (no corrections): -1.101 eV per atom
data_CsK2IBr
_chemical_formula_sum 'Cs1 K2 I1 Br1'
_cell_length_a 6.308
_cell_length_b 6.308
_cell_length_c 7.446
_cell_angle_alpha 90.00
_cell_angle_beta 90.00
_cell_angle_gamma 90.00
_symmetry_space_group_name_H-M 'P 4/m m m'
_symmetry_Int_Tables_number 123
_symmetry_space_group_name_Hall '-P 4 2'
loop_
_atom_site_label
_atom_site_type_symbol
_atom_site_fract_x
_atom_site_fract_y
_atom_site_fract_z
_atom_site_occupancy
Cs1 Cs 0.000 0.000 0.000 1
K1 K 0.000 0.500 0.500 1
I1 I 0.500 0.500 0.000 1
Br1 Br 0.000 0.000 0.500 1

[5]
# TmAgCO4 | Alexandria via LeMat-Bulk | PBE | relaxed
# M_tot: 0.000 μB per formula unit
# Crystal system: orthorhombic
# Formation energy (no corrections): -1.520 eV per atom
data_TmAgCO4
_chemical_formula_sum 'Tm4 Ag4 C4 O16'
_cell_length_a 5.534
_cell_length_b 7.150
_cell_length_c 8.040
_cell_angle_alpha 90.00
_cell_angle_beta 90.00
_cell_angle_gamma 90.00
_symmetry_space_group_name_H-M 'I m m a'
_symmetry_Int_Tables_number 74
_symmetry_space_group_name_Hall '-I 2b 2'
loop_
_atom_site_label
_atom_site_type_symbol
_atom_site_fract_x
_atom_site_fract_y
_atom_site_fract_z
_atom_site_occupancy
Tm1 Tm 0.000 0.000 0.000 1
Ag1 Ag 0.250 0.250 0.250 1
C1 C 0.000 0.250 0.639 1
O1 O 0.000 0.090 0.716 1
O2 O 0.236 0.250 0.511 1

[6]
# ZrTa2Ir | Alexandria via LeMat-Bulk | PBE | relaxed
# M_tot: 0.000 μB per formula unit
# DFT formation energy: -0.23 eV/atom
# Crystal system: tetragonal
data_ZrTa2Ir
_chemical_formula_sum 'Zr1 Ta2 Ir1'
_cell_length_a 3.255
_cell_length_b 3.255
_cell_length_c 6.916
_cell_angle_alpha 90.00
_cell_angle_beta 90.00
_cell_angle_gamma 90.00
_symmetry_space_group_name_H-M 'P 4/m m m'
_symmetry_Int_Tables_number 123
_symmetry_space_group_name_Hall '-P 4 2'
loop_
_atom_site_label
_atom_site_type_symbol
_atom_site_fract_x
_atom_site_fract_y
_atom_site_fract_z
_atom_site_occupancy
Zr1 Zr 0.000 0.000 0.000 1
Ta1 Ta 0.500 0.500 0.273 1
Ir1 Ir 0.000 0.000 0.500 1

[7]
# Cs2LaTbS4 | Alexandria via LeMat-Bulk | PBE | relaxed
# M_tot: 0.000 μB per formula unit
# Crystal system: monoclinic
# Formation energy (no corrections): -1.854 eV per atom
data_Cs2LaTbS4
_chemical_formula_sum 'Cs2 La1 Tb1 S4'
_cell_length_a 7.343
_cell_length_b 4.238
_cell_length_c 8.436
_cell_angle_alpha 90.00
_cell_angle_beta 106.83
_cell_angle_gamma 90.00
_symmetry_space_group_name_H-M 'P 1 2/m 1'
_symmetry_Int_Tables_number 10
loop_
_symmetry_equiv_pos_as_xyz
'x,y,z'
'-x,-y,-z'
'-x,y,-z'
'x,-y,z'
loop_
_atom_site_label
_atom_site_type_symbol
_atom_site_fract_x
_atom_site_fract_y
_atom_site_fract_z
_atom_site_occupancy
Cs1 Cs 0.000 0.000 0.000 1
Cs2 Cs 0.500 0.500 0.000 1
La1 La 0.000 0.500 0.500 1
Tb1 Tb 0.500 0.000 0.500 1
S1 S 0.239 0.000 0.685 1
S2 S 0.282 0.500 0.317 1

[8]
# FePRu4 | Alexandria via LeMat-Bulk | PBE | relaxed
# M_tot: 5.745 μB per formula unit
# DFT formation energy: 0.80 eV/atom
# Crystal system: cubic
data_FePRu4
_chemical_formula_sum 'Fe4 P4 Ru16'
_cell_length_a 7.170
_cell_length_b 7.170
_cell_length_c 7.170
_cell_angle_alpha 90.00
_cell_angle_beta 90.00
_cell_angle_gamma 90.00
_symmetry_space_group_name_H-M 'F -4 3 m'
_symmetry_Int_Tables_number 216
_symmetry_space_group_name_Hall 'F -4 2 3'
loop_
_atom_site_label
_atom_site_type_symbol
_atom_site_fract_x
_atom_site_fract_y
_atom_site_fract_z
_atom_site_occupancy
Fe1 Fe 0.000 0.000 0.000 1
P1 P 0.250 0.250 0.750 1
Ru1 Ru 0.125 0.125 0.375 1